First-principles (PBE) data for LiNiIr after structural relaxation, as listed in the Alexandria database.

Values from the calculation:
polymorph energy (0 for the lowest one) = 158 meV per atom
energy of formation from the pure elements = 0.03 eV per atom
calculated total energy = -5.494 eV/atom
crystal system = trigonal

Lattice parameters (Å, degrees): 4.1090 4.1090 2.5340 90.00 90.00 120.00
Last column: magnetic moment on the atom in μB.
Sites, in units of the cell vectors:
1 Li 0.6667 0.3333 0.4735  -0.01
2 Ir 0.0000 0.0000 0.0039  0.48
3 Ni 0.3333 0.6667 0.5226  0.68